Compound: CaMn3Ga4O12
Source: the Alexandria database
Functional: PBE+U
Structure: optimized geometry

extended XYZ file:
```
20
Lattice="-5.240 -2.769 -2.611 0.987 -2.410 5.930 -0.910 6.400 0.395" Properties=species:S:1:pos:R:3 pbc="T T T"
O -2.413 -0.963 0.637
O -1.896 1.836 0.435
O -0.732 0.319 2.553
O -1.139 4.147 1.819
O -2.751 2.184 3.077
O -4.461 -0.610 -1.237
O -4.432 0.902 1.161
O -0.936 -1.991 4.118
O -4.227 3.212 -0.405
O -0.702 1.831 4.950
O -4.025 -2.926 1.895
O -3.267 -0.615 3.278
Mn -2.126 -2.589 1.659
Mn -3.075 1.815 -1.108
Mn 0.038 1.995 3.162
Ga -2.620 -1.385 -1.305
Ga -0.455 3.200 0.197
Ga -2.582 0.610 1.857
Ga 0.494 -1.205 2.965
Ca 0.000 0.000 0.000
```

Results
For the raw total energy, the calculation gives -131.25 eV per cell. As for the symmetry: Im-3 (204). For the total magnetic moment, the calculation gives 10.89 μB/cell. Its crystal system is cubic.